(a)
Compound: CsAgPd3
Source: Alexandria via LeMat-Bulk
Functional: PBE-GGA
Structure: optimized geometry

extended XYZ file:
```
5
Lattice="5.286 0.000 0.000 0.000 5.286 0.000 0.000 0.000 5.286" Properties=species:S:1:pos:R:3 pbc="T T T"
Cs 0.000 0.000 0.000
Pd 0.000 2.643 0.000
Pd 0.000 0.000 2.643
Pd 2.643 0.000 0.000
Ag 2.643 2.643 2.643
```

Output
Its space group is Pm-3m (221).


(b)
Compound: CsAgPd3
Source: Alexandria via LeMat-Bulk
Functional: PBE-GGA
Structure: optimized geometry

extended XYZ file:
```
5
Lattice="-3.382 -3.570 1.500 1.535 -3.064 -3.832 3.555 -2.073 3.081" Properties=species:S:1:pos:R:3 pbc="T T T"
Pd -1.691 -1.785 0.750
Pd 0.767 -1.532 -1.916
Ag 0.000 0.000 0.000
Cs 0.854 -4.353 0.375
Pd 1.777 -1.036 1.541
```

Output
Its space group is Pm-3m (221).


(b) ends up most stable, edging out the next structure by 819 meV per atom.


(a)
Compound: Cs2RbAgPd
Source: Alexandria via LeMat-Bulk
Functional: PBE-GGA
Structure: optimized geometry

extended XYZ file:
```
5
Lattice="-3.751 3.825 3.988 2.423 -3.193 5.342 4.801 4.299 0.392" Properties=species:S:1:pos:R:3 pbc="T T T"
Ag 1.736 2.465 4.861
Cs -1.875 1.912 1.994
Pd 0.000 0.000 0.000
Rb 2.400 2.149 0.196
Cs 1.212 -1.596 2.671
```

Output
Its space group is P4/mmm (123).


(b)
Compound: Cs2RbAgPd
Source: Alexandria via LeMat-Bulk
Functional: PBE-GGA
Structure: optimized geometry

extended XYZ file:
```
5
Lattice="6.760 0.000 0.000 0.000 6.760 0.000 0.000 0.000 5.474" Properties=species:S:1:pos:R:3 pbc="T T T"
Cs 0.000 3.380 0.000
Rb 3.380 3.380 2.737
Cs 3.380 0.000 0.000
Ag 0.000 0.000 2.737
Pd 0.000 0.000 0.000
```

Output
Its space group is P4/mmm (123).


(a) ends up most stable, edging out the next structure by 24 meV per atom.


(a)
Compound: Cs2AgPt2
Source: Alexandria via LeMat-Bulk
Functional: PBE-GGA
Structure: optimized geometry

extended XYZ file:
```
10
Lattice="7.136 0.000 0.000 0.000 7.136 0.000 0.000 0.000 5.688" Properties=species:S:1:pos:R:3 pbc="T T T"
Cs 5.843 2.275 2.844
Pt 2.654 6.222 0.000
Pt 4.482 0.914 0.000
Ag 0.000 0.000 0.000
Ag 3.568 3.568 0.000
Pt 6.222 4.482 0.000
Pt 0.914 2.654 0.000
Cs 1.293 4.861 2.844
Cs 2.275 1.293 2.844
Cs 4.861 5.843 2.844
```

Output
Its space group is P4/mbm (127).


(b)
Compound: Cs2AgPt2
Source: Alexandria via LeMat-Bulk
Functional: PBE-GGA
Structure: optimized geometry

extended XYZ file:
```
5
Lattice="-5.018 -0.402 1.811 0.475 -4.834 0.244 -0.336 -2.152 6.495" Properties=species:S:1:pos:R:3 pbc="T T T"
Pt -3.491 -2.715 1.467
Pt -1.053 -2.520 0.588
Cs -1.266 -4.850 3.319
Ag 0.000 0.000 0.000
Cs -3.613 -2.538 5.231
```

Output
Its space group is Immm (71).


(b) ends up most stable, edging out the next structure by 184 meV per atom.